Record 1
Entry from Alexandria: a relaxed Mg2Al3Ir crystal (PBE-GGA).

a b c (Å): 8.9258 5.2977 5.1716
angles (deg): 90.00 123.73 90.00
Space group C2/m (No. 12)
Unique sites:
Mg 0.1286 0.0000 0.3705
Al 0.0000 0.5000 0.5000
Al 0.2500 0.2500 0.0000
Ir 0.0000 0.5000 0.0000

Calculated formation energy ... -402 meV/atom
E ... -51.379 eV/cell
Fermi-level density of states ... 0.33 states/eV per atom

Record 2
Entry from Alexandria: a relaxed MgAlIr2 crystal (PBE-GGA).

a b c (Å): 3.7509 3.7509 8.4559
angles (deg): 90.00 90.00 90.00
Space group I-4m2 (No. 119)
Unique sites:
Mg 0.0000 0.0000 0.0000
Al 0.0000 0.5000 0.7500
Ir 0.0000 0.0000 0.5000
Ir 0.0000 0.5000 0.2500

Calculated formation energy ... -365 meV/atom
E ... -49.039 eV/cell
Fermi-level density of states ... 0.83 states/eV per atom

Record 3
Entry from Alexandria: a relaxed MgAl2Ir crystal (PBE-GGA).

a b c (Å): 3.0320 3.6256 5.7792
angles (deg): 90.00 90.00 90.00
Space group Pmm2 (No. 25)
Unique sites:
Mg 0.0000 0.0000 0.0000
Al 0.0000 0.0000 0.5358
Al 0.5000 0.5000 0.2781
Ir 0.5000 0.5000 0.7300

Calculated formation energy ... -408 meV/atom
E ... -19.574 eV/cell
Fermi-level density of states ... 0.26 states/eV per atom

Record 4
Entry from Alexandria: a relaxed MgAlIr2 crystal (PBE-GGA).

a b c (Å): 2.9732 4.2948 9.3708
angles (deg): 90.00 90.00 90.00
Space group Imm2 (No. 44)
Unique sites:
Mg 0.0000 0.0000 0.0000
Al 0.0000 0.5000 0.7749
Ir 0.0000 0.0000 0.4985
Ir 0.0000 0.5000 0.2447

Calculated formation energy ... -438 meV/atom
E ... -49.626 eV/cell
Fermi-level density of states ... 0.87 states/eV per atom